DFT (PBE-GGA) results for crystalline TbMgAl2 at its relaxed geometry.

Cell: 4.5633 4.5633 15.0392 Å, 90.00 90.00 120.00°
Closest atoms and distances in Å follow each position.
Atoms (fractional coordinates):
Tb  0.0000  0.0000  0.0000  8 Al 3.16-3.27
Tb  0.3333  0.6667  0.6667  8 Al 3.16-3.27
Tb  0.6667  0.3333  0.3333  8 Al 3.16-3.27
Mg  0.0000  0.0000  0.5000  6 Al 2.74
Mg  0.3333  0.6667  0.1667  6 Al 2.74
Mg  0.6667  0.3333  0.8333  6 Al 2.74
Al  0.0000  0.0000  0.2176  3 Mg 2.74, 3 Al 3.05
Al  0.0000  0.0000  0.7824  3 Mg 2.74, 3 Al 3.05
Al  0.3333  0.6667  0.4490  3 Mg 2.74, 3 Al 3.05
Al  0.3333  0.6667  0.8843  3 Mg 2.74, 3 Al 3.05
Al  0.6667  0.3333  0.1157  3 Mg 2.74, 3 Al 3.05
Al  0.6667  0.3333  0.5510  3 Mg 2.74, 3 Al 3.05

Computed properties:
The energy of formation from the pure elements is -0.178 eV/atom. The space group is R-3m, No. 166. For the density of states at the Fermi level, the calculation gives 2.28 states/eV/f.u. For the energy above the lowest structure with this stoichiometry, the calculation gives 150 meV per atom.